BaIClO3 | GGA-PBE | optimized geometry

Results
SG = No. 63
Raw formation energy = -1.266 eV/atom
DOS at the Fermi energy = 0.00 states/eV/atom
Crystal system = orthorhombic

Cell: 8.4579 8.4579 6.1072 Å, 90.00 90.00 141.85°
With the nearest neighbours (Å) after each atom.
Sites, in units of the cell vectors:
Ba1 0.1417 0.8583 0.7500  6 O 2.83-3.05
Ba2 0.8583 0.1417 0.2500  6 O 2.83-3.05
I1 0.4882 0.5118 0.7500  1 O 1.84
I2 0.5118 0.4882 0.2500  1 O 1.84
Cl1 0.2025 0.7975 0.2500  1 O 3.11, 2 Ba 3.20
Cl2 0.7975 0.2025 0.7500  1 O 3.11, 2 Ba 3.20
O1 0.2448 0.2448 0.0000  2 I 2.09
O2 0.2448 0.2448 0.5000  2 I 2.09
O3 0.3970 0.6030 0.2500  1 I 1.84
O4 0.6030 0.3970 0.7500  1 I 1.84
O5 0.7552 0.7552 0.0000  2 I 2.09
O6 0.7552 0.7552 0.5000  2 I 2.09



HfNb2SbW | GGA-PBE | optimized geometry

Results
SG = No. 123
Raw formation energy = 1.720 eV/atom
DOS at the Fermi energy = 1.27 states/eV/atom
Crystal system = tetragonal

Cell: 4.9548 4.9548 4.8275 Å, 90.00 90.00 90.00°
With the nearest neighbours (Å) after each atom.
Sites, in units of the cell vectors:
Hf1 0.0000 0.0000 0.0000  2 W 2.41, 4 Nb 2.48
Nb1 0.0000 0.5000 0.0000  2 Hf 2.48
Nb2 0.5000 0.0000 0.0000  2 Hf 2.48
Sb1 0.5000 0.5000 0.5000  8 Nb 3.46, 4 W 3.50
W1 0.0000 0.0000 0.5000  2 Hf 2.41



KLaCr2 | GGA-PBE | optimized geometry

Results
Calculated formation energy = 0.946 eV/atom
SG = No. 216
DOS at the Fermi energy = 1.24 states/eV/atom
Crystal system = cubic
Offset from the most stable computed form = 335 meV/atom

Cell: 5.2897 5.2897 5.2897 Å, 60.00 60.00 60.00°
With the nearest neighbours (Å) after each atom.
Sites, in units of the cell vectors:
K1 0.0000 0.0000 0.0000  4 Cr 3.24, 4 La 3.24
La1 0.2500 0.2500 0.2500  4 Cr 3.24, 4 K 3.24
Cr1 0.5000 0.5000 0.5000  4 Cr 3.24, 4 La 3.24
Cr2 0.7500 0.7500 0.7500  4 Cr 3.24, 4 K 3.24



Sr2Si4Ir3Rh | GGA-PBE | optimized geometry

Results
SG = No. 115
Raw formation energy = -0.834 eV/atom
DOS at the Fermi energy = 0.30 states/eV/atom
Crystal system = tetragonal

Cell: 4.2285 4.2285 10.0218 Å, 90.00 90.00 90.00°
With the nearest neighbours (Å) after each atom.
Sites, in units of the cell vectors:
Sr1 0.0000 0.5000 0.2475  6 Ir 3.24-3.30, 8 Si 3.26, 2 Rh 3.30
Sr2 0.5000 0.0000 0.7525  6 Ir 3.24-3.30, 8 Si 3.26, 2 Rh 3.30
Si1 0.0000 0.0000 0.0000  4 Ir 2.45
Si2 0.0000 0.5000 0.6234  2 Rh 2.45, 3 Ir 2.45-2.53
Si3 0.5000 0.0000 0.3766  2 Rh 2.45, 3 Ir 2.45-2.53
Si4 0.5000 0.5000 0.0000  4 Ir 2.45
Ir1 0.0000 0.5000 0.8759  5 Si 2.45-2.53
Ir2 0.5000 0.0000 0.1241  5 Si 2.45-2.53
Ir3 0.5000 0.5000 0.5000  4 Si 2.45
Rh1 0.0000 0.0000 0.5000  4 Si 2.45



Fe2PdRhSe6 | GGA-PBE | optimized geometry

Results
SG = No. 15
Raw formation energy = -0.245 eV/atom
DOS at the Fermi energy = 0.58 states/eV/atom
Crystal system = monoclinic

Cell: 8.0097 8.0097 6.2828 Å, 104.23 104.23 96.97°
With the nearest neighbours (Å) after each atom.
Sites, in units of the cell vectors:
Fe1 0.0243 0.2226 0.2141  5 Se 2.26-2.41
Fe2 0.2226 0.0243 0.7141  5 Se 2.26-2.41
Fe3 0.7774 0.9757 0.2859  5 Se 2.26-2.41
Fe4 0.9757 0.7774 0.7859  5 Se 2.26-2.41
Pd1 0.2442 0.7558 0.2500  6 Se 2.53-2.69
Pd2 0.7558 0.2442 0.7500  6 Se 2.53-2.69
Rh1 0.4189 0.5811 0.7500  6 Se 2.42-2.57
Rh2 0.5811 0.4189 0.2500  6 Se 2.42-2.57
Se1 0.0174 0.1912 0.5619  3 Fe 2.27-2.41
Se2 0.1398 0.5713 0.8349  1 Fe 2.26, 1 Rh 2.42, 1 Pd 2.53
Se3 0.1912 0.0174 0.0619  3 Fe 2.27-2.41
Se4 0.2821 0.4447 0.3253  1 Fe 2.39, 2 Rh 2.52-2.57
Se5 0.4287 0.8602 0.6651  1 Fe 2.26, 1 Rh 2.42, 1 Pd 2.53
Se6 0.4447 0.2821 0.8253  1 Fe 2.39, 2 Rh 2.52-2.57
Se7 0.5553 0.7179 0.1747  1 Fe 2.39, 2 Rh 2.52-2.57
Se8 0.5713 0.1398 0.3349  1 Fe 2.26, 1 Rh 2.42, 1 Pd 2.53
Se9 0.7179 0.5553 0.6747  1 Fe 2.39, 2 Rh 2.52-2.57
Se10 0.8088 0.9826 0.9381  3 Fe 2.27-2.41
Se11 0.8602 0.4287 0.1651  1 Fe 2.26, 1 Rh 2.42, 1 Pd 2.53
Se12 0.9826 0.8088 0.4381  3 Fe 2.27-2.41



LaGeSb2 | GGA-PBE | optimized geometry

Results
SG = No. 122
Raw formation energy = -0.395 eV/atom
DOS at the Fermi energy = 0.69 states/eV/atom
Crystal system = tetragonal

Cell: 6.8430 6.8430 6.8430 Å, 102.08 102.08 125.56°
With the nearest neighbours (Å) after each atom.
Sites, in units of the cell vectors:
La1 0.0000 0.0000 0.0000  2 Ge 3.13, 4 Sb 3.31
La2 0.7500 0.2500 0.5000  2 Ge 3.13, 4 Sb 3.31
Ge1 0.2500 0.7500 0.5000  4 Sb 2.99, 2 La 3.13
Ge2 0.5000 0.5000 0.0000  4 Sb 2.99, 2 La 3.13
Sb1 0.1523 0.6250 0.0273  2 Ge 2.99, 2 Sb 3.17, 2 La 3.31
Sb2 0.3750 0.4023 0.5273  2 Ge 2.99, 2 Sb 3.17, 2 La 3.31
Sb3 0.5977 0.1250 0.9727  2 Ge 2.99, 2 Sb 3.17, 2 La 3.31
Sb4 0.8750 0.8477 0.4727  2 Ge 2.99, 2 Sb 3.17, 2 La 3.31



Y2CuP | GGA-PBE | optimized geometry

Results
Calculated formation energy = 0.164 eV/atom
SG = No. 216
DOS at the Fermi energy = 1.09 states/eV/atom
Crystal system = cubic

Cell: 4.9059 4.9059 4.9059 Å, 60.00 60.00 60.00°
With the nearest neighbours (Å) after each atom.
Sites, in units of the cell vectors:
Y1 0.0000 0.0000 0.0000  4 Y 3.00, 4 P 3.00
Y2 0.2500 0.2500 0.2500  4 Cu 3.00, 4 Y 3.00
Cu1 0.5000 0.5000 0.5000  4 P 3.00, 4 Y 3.00
P1 0.7500 0.7500 0.7500  4 Cu 3.00, 4 Y 3.00



ReSb2AuBr | GGA-PBE | optimized geometry

Results
SG = No. 123
Raw formation energy = 0.723 eV/atom
DOS at the Fermi energy = 0.78 states/eV/atom
Crystal system = tetragonal
Offset from the most stable computed form = 216 meV/atom

Cell: 5.1517 5.1517 5.1741 Å, 90.00 90.00 90.00°
With the nearest neighbours (Å) after each atom.
Sites, in units of the cell vectors:
Re1 0.0000 0.0000 0.0000  4 Sb 2.58, 2 Br 2.59
Sb1 0.0000 0.5000 0.0000  2 Re 2.58
Sb2 0.5000 0.0000 0.0000  2 Re 2.58
Au1 0.5000 0.5000 0.5000  4 Br 3.64, 8 Sb 3.65
Br1 0.0000 0.0000 0.5000  2 Re 2.59